This record from Alexandria via LeMat-Bulk describes an optimized crystal structure of La2Cu2NiO6. The functional is PBE with a Hubbard U.

## Properties
SG	R-3m
total DFT energy (no corrections)	-68.9	eV for the cell shown

Cell: 5.768 5.768 6.124 Å, 61.90 61.90 60.00°
Last column: magnetic moment on the atom in μB.
Element x y z (fractional)
1 La 0.788 0.788 0.636  0.01
2 La 0.212 0.212 0.364  0.01
3 Cu 0.417 0.417 0.749  -0.42
4 Cu 0.583 0.583 0.251  -0.42
5 Ni 0.000 0.000 0.000  1.64
6 O 0.761 0.761 0.271  -0.13
7 O 0.207 0.761 0.271  -0.13
8 O 0.761 0.207 0.271  -0.13
9 O 0.239 0.793 0.729  -0.13
10 O 0.793 0.239 0.729  -0.13
11 O 0.239 0.239 0.729  -0.13